Computed, not measured: crystalline PrErTm at its relaxed geometry at the PBE level of DFT.

POSCAR file:
```
PrErTm
1.0
3.537 0.000 -0.042
0.000 5.408 -0.012
-1.645 0.022 10.155
Tm Er Pr
2 2 2
Direct
0.960 0.750 0.420
0.040 0.250 0.580
0.612 0.750 0.724
0.388 0.250 0.276
0.205 0.250 0.910
0.795 0.750 0.090
```

Calculated values
polymorph energy (0 for the lowest one)	13	meV/atom
DFT formation energy	0.04	eV/atom
uncorrected energy	-4.57	eV per atom
spin magnetization	0.0	μB/f.u.
symmetry	Cmcm, No. 63


Computed, not measured: crystalline Pr12Er7Tm at its relaxed geometry at the PBE level of DFT.

POSCAR file:
```
Pr12Er7Tm
1.0
-0.400 5.275 3.351
-7.718 2.221 -8.317
-3.038 -7.785 7.991
Pr Er Tm
12 7 1
Direct
0.087 0.176 0.588
0.417 0.352 0.000
0.499 0.412 0.588
0.583 0.648 0.000
0.418 0.000 0.352
0.089 0.588 0.176
0.501 0.588 0.412
0.911 0.412 0.824
0.913 0.824 0.412
0.934 0.352 0.352
0.582 0.000 0.648
0.066 0.648 0.648
0.877 0.243 0.000
0.366 0.243 0.243
0.122 0.000 0.757
0.634 0.757 0.757
0.878 0.000 0.243
0.500 0.000 0.000
0.123 0.757 0.000
0.000 0.000 0.000
```

Calculated values
polymorph energy (0 for the lowest one)	0	meV/atom
DFT formation energy	0.22	eV/atom
uncorrected energy	-4.47	eV per atom
spin magnetization	0.0	μB/f.u.
symmetry	R-3m, No. 166


Computed, not measured: crystalline Pr4Er4Tm3 at its relaxed geometry at the PBE level of DFT.

POSCAR file:
```
Pr4Er4Tm3
1.0
-3.950 -10.010 -15.643
-3.642 -5.086 -17.927
3.492 -0.345 -0.272
Tm Er Pr
3 4 4
Direct
0.000 0.000 0.500
0.365 0.365 0.861
0.635 0.635 0.139
0.183 0.183 0.185
0.545 0.545 0.046
0.455 0.455 0.954
0.817 0.817 0.815
0.721 0.721 0.722
0.904 0.904 0.401
0.096 0.096 0.599
0.279 0.279 0.278
```

Calculated values
polymorph energy (0 for the lowest one)	0	meV/atom
DFT formation energy	0.05	eV/atom
uncorrected energy	-4.56	eV per atom
spin magnetization	0.0	μB/f.u.
symmetry	C2/m, No. 12


Computed, not measured: crystalline Pr5Er2Tm at its relaxed geometry at the PBE level of DFT.

POSCAR file:
```
Pr5Er2Tm
1.0
-14.523 -0.612 -3.219
10.119 -9.707 -5.002
-3.029 -7.743 -2.371
Pr Er Tm
10 4 2
Direct
0.170 0.478 0.168
0.003 0.874 0.618
0.126 0.997 0.882
0.375 0.625 0.250
0.522 0.830 0.332
0.997 0.126 0.382
0.830 0.522 0.832
0.478 0.170 0.668
0.874 0.003 0.118
0.625 0.375 0.750
0.500 0.500 0.000
0.000 0.500 0.500
0.500 0.000 0.000
0.500 0.500 0.500
0.207 0.793 0.750
0.793 0.207 0.250
```

Calculated values
polymorph energy (0 for the lowest one)	152	meV/atom
DFT formation energy	0.27	eV/atom
uncorrected energy	-4.42	eV per atom
spin magnetization	0.0	μB/f.u.
symmetry	C2/c, No. 15


Computed, not measured: crystalline Pr7Er2Tm3 at its relaxed geometry at the PBE level of DFT.

POSCAR file:
```
Pr7Er2Tm3
1.0
3.570 0.000 0.000
0.000 6.426 0.895
0.000 2.259 17.984
Pr Er Tm
7 2 3
Direct
0.500 0.235 0.507
0.500 0.052 0.174
0.500 0.765 0.493
0.000 0.000 0.000
0.000 0.555 0.167
0.000 0.445 0.833
0.500 0.948 0.826
0.500 0.391 0.670
0.500 0.609 0.330
0.000 0.117 0.341
0.500 0.500 0.000
0.000 0.883 0.659
```

Calculated values
polymorph energy (0 for the lowest one)	0	meV/atom
DFT formation energy	0.07	eV/atom
uncorrected energy	-4.59	eV per atom
spin magnetization	0.0	μB/f.u.
symmetry	P2/m, No. 10


Computed, not measured: crystalline PrErTm2 at its relaxed geometry at the PBE level of DFT.

POSCAR file:
```
PrErTm2
1.0
-4.511 2.189 2.618
-4.743 1.015 -2.910
-4.589 -3.190 0.870
Pr Tm Er
1 2 1
Direct
0.500 0.500 0.500
0.250 0.250 0.250
0.750 0.750 0.750
0.000 0.000 0.000
```

Calculated values
polymorph energy (0 for the lowest one)	95	meV/atom
DFT formation energy	0.11	eV/atom
uncorrected energy	-4.46	eV per atom
spin magnetization	0.0	μB/f.u.
symmetry	Fm-3m, No. 225


Computed, not measured: crystalline Pr7Er2Tm3 at its relaxed geometry at the PBE level of DFT.

POSCAR file:
```
Pr7Er2Tm3
1.0
3.629 0.000 0.000
0.000 5.877 -0.239
0.000 -3.717 19.255
Pr Tm Er
7 3 2
Direct
0.000 0.478 0.146
0.500 0.986 0.814
0.000 0.522 0.854
0.500 0.014 0.186
0.000 0.000 0.000
0.500 0.276 0.534
0.500 0.724 0.466
0.000 0.848 0.632
0.000 0.152 0.368
0.500 0.500 0.000
0.500 0.405 0.701
0.500 0.595 0.299
```

Calculated values
polymorph energy (0 for the lowest one)	24	meV/atom
DFT formation energy	0.10	eV/atom
uncorrected energy	-4.57	eV per atom
spin magnetization	0.0	μB/f.u.
symmetry	P2/m, No. 10


Computed, not measured: crystalline PrEr3Tm4 at its relaxed geometry at the PBE level of DFT.

POSCAR file:
```
PrEr3Tm4
1.0
5.475 0.000 -1.091
-0.064 3.511 -0.320
-0.207 1.214 13.240
Er Pr Tm
3 1 4
Direct
0.158 0.000 0.316
0.000 0.500 0.000
0.842 0.000 0.684
0.500 0.000 0.000
0.606 0.500 0.211
0.276 0.499 0.552
0.724 0.501 0.448
0.394 0.500 0.789
```

Calculated values
polymorph energy (0 for the lowest one)	235	meV/atom
DFT formation energy	0.24	eV/atom
uncorrected energy	-4.30	eV per atom
spin magnetization	0.0	μB/f.u.
symmetry	C2/m, No. 12


Computed, not measured: crystalline Pr3Er3Tm at its relaxed geometry at the PBE level of DFT.

POSCAR file:
```
Pr3Er3Tm
1.0
-3.978 -4.030 6.777
-1.164 -8.754 0.035
4.556 -5.170 5.524
Tm Er Pr
2 6 6
Direct
0.651 0.651 0.651
0.349 0.349 0.349
0.271 0.430 0.940
0.060 0.729 0.570
0.430 0.940 0.271
0.570 0.060 0.729
0.940 0.271 0.430
0.729 0.570 0.060
0.814 0.065 0.297
0.065 0.297 0.814
0.703 0.186 0.935
0.297 0.814 0.065
0.186 0.935 0.703
0.935 0.703 0.186
```

Calculated values
polymorph energy (0 for the lowest one)	240	meV/atom
DFT formation energy	0.27	eV/atom
uncorrected energy	-4.38	eV per atom
spin magnetization	0.0	μB/f.u.
symmetry	R-3, No. 148


Computed, not measured: crystalline PrEr5Tm4 at its relaxed geometry at the PBE level of DFT.

POSCAR file:
```
PrEr5Tm4
1.0
6.281 0.000 0.000
3.140 7.136 0.000
3.140 0.000 7.136
Tm Er Pr
4 5 1
Direct
0.401 0.402 0.702
0.103 0.298 0.402
0.505 0.598 0.298
0.803 0.702 0.598
0.184 0.907 0.622
0.092 0.622 0.093
0.806 0.378 0.907
0.713 0.093 0.378
0.679 0.000 0.000
0.223 0.000 0.000
```

Calculated values
polymorph energy (0 for the lowest one)	287	meV/atom
DFT formation energy	0.31	eV/atom
uncorrected energy	-4.24	eV per atom
spin magnetization	0.0	μB/f.u.
symmetry	I4, No. 79


Copy entry 5 word for word.
Computed, not measured: crystalline Pr7Er2Tm3 at its relaxed geometry at the PBE level of DFT.

POSCAR file:
```
Pr7Er2Tm3
1.0
3.570 0.000 0.000
0.000 6.426 0.895
0.000 2.259 17.984
Pr Er Tm
7 2 3
Direct
0.500 0.235 0.507
0.500 0.052 0.174
0.500 0.765 0.493
0.000 0.000 0.000
0.000 0.555 0.167
0.000 0.445 0.833
0.500 0.948 0.826
0.500 0.391 0.670
0.500 0.609 0.330
0.000 0.117 0.341
0.500 0.500 0.000
0.000 0.883 0.659
```

Calculated values
polymorph energy (0 for the lowest one)	0	meV/atom
DFT formation energy	0.07	eV/atom
uncorrected energy	-4.59	eV per atom
spin magnetization	0.0	μB/f.u.
symmetry	P2/m, No. 10


Question: uncorrected energy of number 10 (PrEr5Tm4)?
Answer: -4.24 eV per atom


Copy entry 9 word for word.
Computed, not measured: crystalline Pr3Er3Tm at its relaxed geometry at the PBE level of DFT.

POSCAR file:
```
Pr3Er3Tm
1.0
-3.978 -4.030 6.777
-1.164 -8.754 0.035
4.556 -5.170 5.524
Tm Er Pr
2 6 6
Direct
0.651 0.651 0.651
0.349 0.349 0.349
0.271 0.430 0.940
0.060 0.729 0.570
0.430 0.940 0.271
0.570 0.060 0.729
0.940 0.271 0.430
0.729 0.570 0.060
0.814 0.065 0.297
0.065 0.297 0.814
0.703 0.186 0.935
0.297 0.814 0.065
0.186 0.935 0.703
0.935 0.703 0.186
```

Calculated values
polymorph energy (0 for the lowest one)	240	meV/atom
DFT formation energy	0.27	eV/atom
uncorrected energy	-4.38	eV per atom
spin magnetization	0.0	μB/f.u.
symmetry	R-3, No. 148


Question: What is the spin magnetization in the fifth record?
Answer: 0.0 μB/f.u.